# 1
# La2CuPd

A geometry-optimized La2CuPd structure (PBE-GGA, the Alexandria database).

calculated volume	205.50	Å³/cell
uncorrected energy	-5.282	eV per atom
formation energy	-0.496	eV per atom

Unit cell a=4.6853 b=5.8689 c=7.9226 alpha=109.38 beta=90.00 gamma=90.00
Fractional coordinates of all 8 atoms:
La  0.2500  0.7742  0.0679
Cu  0.2500  0.3515  0.2127
La  0.7500  0.2258  0.9321
Cu  0.7500  0.6485  0.7873
Pd  0.7500  0.6539  0.2876
Pd  0.2500  0.3461  0.7124
La  0.7500  0.2267  0.4334
La  0.2500  0.7733  0.5666

=====

# 2
# YP2Pd7Pb2

A geometry-optimized YP2Pd7Pb2 structure (PBE-GGA, the Alexandria database).

calculated volume	229.17	Å³/cell
uncorrected energy	-5.577	eV per atom
formation energy	-0.490	eV per atom

Unit cell a=4.1337 b=4.1337 c=13.5718 alpha=83.76 beta=83.76 gamma=89.61
Fractional coordinates of all 12 atoms:
Pb  0.1042  0.1042  0.6196
Pd  0.0590  0.5587  0.8422
Y  0.0000  0.0000  0.0000
Pd  0.5587  0.0590  0.8422
Pd  0.3931  0.3931  0.4176
P  0.5882  0.5882  0.7546
Pd  0.6069  0.6069  0.5824
Pb  0.8958  0.8958  0.3804
P  0.4118  0.4118  0.2454
Pd  0.9410  0.4413  0.1578
Pd  0.5000  0.5000  0.0000
Pd  0.4413  0.9410  0.1578

=====

# 3
# La3Nd2DyY6

A geometry-optimized La3Nd2DyY6 structure (PBE-GGA, the Alexandria database).

calculated volume	403.82	Å³/cell
uncorrected energy	-5.630	eV per atom
formation energy	0.012	eV per atom

Unit cell a=6.3021 b=6.3021 c=11.9268 alpha=95.04 beta=95.04 gamma=120.01
Fractional coordinates of all 12 atoms:
Y  0.5851  0.9179  0.7530
Y  0.7494  0.7494  0.2473
La  0.5000  0.5000  0.5000
Y  0.2506  0.2506  0.7527
Y  0.4149  0.0821  0.2470
Y  0.9179  0.5851  0.7530
Nd  0.3336  0.6664  0.0000
Y  0.0821  0.4149  0.2470
La  0.1670  0.8330  0.5000
La  0.8330  0.1670  0.5000
Nd  0.6664  0.3336  0.0000
Dy  0.0000  0.0000  0.0000

=====

# 4
# MnNi2GeH

A geometry-optimized MnNi2GeH structure (PBE-GGA, the Alexandria database).

calculated volume	49.75	Å³/cell
uncorrected energy	-5.910	eV per atom

Unit cell a=3.6084 b=3.6084 c=3.8211 alpha=90.00 beta=90.00 gamma=90.00
Site moments in Bohr magnetons follow the coordinates.
Fractional coordinates of all 5 atoms:
Ni  0.5000  0.0000  0.0000  0.09
Mn  0.0000  0.0000  0.5000  2.45
Ni  0.0000  0.5000  0.0000  0.09
H  0.0000  0.0000  0.0000  -0.01
Ge  0.5000  0.5000  0.5000  -0.12

=====

# 5
# MgMoBr2

A geometry-optimized MgMoBr2 structure (PBE-GGA, the Alexandria database).

ΔE_f (raw)	-0.059	eV/atom
calculated volume	117.02	Å³/cell
uncorrected energy	-4.002	eV per atom

Unit cell a=8.0352 b=8.0352 c=4.7914 alpha=71.75 beta=71.75 gamma=23.53
Site moments in Bohr magnetons follow the coordinates.
Fractional coordinates of all 4 atoms:
Br  0.8888  0.8888  0.1098  0.03
Br  0.6112  0.6112  0.3902  0.03
Mg  0.7500  0.7500  0.7500  -0.01
Mo  0.2500  0.2500  0.2500  1.44

=====

# 6
# MgMo2Os

A geometry-optimized MgMo2Os structure (PBE-GGA, the Alexandria database).

calculated volume	63.86	Å³/cell
uncorrected energy	-8.393	eV per atom
formation energy	0.229	eV per atom

Unit cell a=2.7359 b=2.7359 c=9.0999 alpha=90.00 beta=90.00 gamma=110.37
Fractional coordinates of all 4 atoms:
Mg  0.5000  0.5000  0.7433
Mo  0.5000  0.5000  0.2546
Mo  0.0000  0.0000  0.0103
Os  0.0000  0.0000  0.4918